# 1
Compound: BaLiBiCl2
Source: Alexandria via LeMat-Bulk
Functional: PBE-GGA
Structure: optimized geometry

Cell: 5.9367 5.9367 5.1158 Å, 90.00 90.00 90.00°
Space group P4/mmm (No. 123)
Inequivalent atoms, fractional coordinates:
Ba 0.0000 0.0000 0.0000
Li 0.5000 0.5000 0.0000
Bi 0.5000 0.5000 0.5000
Cl 0.0000 0.5000 0.5000

Calculated values
N(E_F) = 1.82 states/eV/cell
energy relative to the elements, uncorrected = -736.1 meV per atom

=====

# 2
Compound: BaLiBiCl6
Source: Alexandria via LeMat-Bulk
Functional: PBE-GGA
Structure: optimized geometry

Cell: 6.9175 6.9175 6.7462 Å, 90.00 90.00 120.00°
Space group P312 (No. 149)
Inequivalent atoms, fractional coordinates:
Ba 0.0000 0.0000 0.0000
Li 0.3333 0.6667 0.5000
Bi 0.6667 0.3333 0.5000
Cl 0.0119 0.3697 0.7257

Calculated values
N(E_F) = 0.00 states/eV/cell
energy relative to the elements, uncorrected = -1680.7 meV per atom

=====

# 3
Compound: BaLi2BiCl8
Source: Alexandria via LeMat-Bulk
Functional: PBE-GGA
Structure: optimized geometry

Cell: 6.4938 6.4938 8.9895 Å, 90.00 90.00 120.00°
Space group P-3 (No. 147)
Inequivalent atoms, fractional coordinates:
Ba 0.0000 0.0000 0.0000
Li 0.3333 0.6667 0.7406
Bi 0.0000 0.0000 0.5000
Cl 0.0193 0.6959 0.3088
Cl 0.3333 0.6667 0.9967

Calculated values
N(E_F) = 10.59 states/eV/cell
energy relative to the elements, uncorrected = -1441.8 meV per atom

=====

# 4
Compound: Ba6Bi2NCl
Source: Alexandria via LeMat-Bulk
Functional: PBE-GGA
Structure: optimized geometry

Cell: 8.1874 8.1874 11.5621 Å, 90.00 90.00 90.00°
Space group I4/mmm (No. 139)
Inequivalent atoms, fractional coordinates:
Ba 0.0000 0.0000 0.2339
Ba 0.2340 0.2340 0.0000
Bi 0.0000 0.5000 0.2500
N 0.0000 0.0000 0.0000
Cl 0.0000 0.0000 0.5000

Calculated values
N(E_F) = 12.16 states/eV/cell
energy relative to the elements, uncorrected = -910.0 meV per atom

=====

For reference, size of the total moment by record: 0.000 0.000 0.026 0.000 μB/atom.